Record 1
Material: NaNb6O8
Method: DFT, PBE
State: optimized geometry

Geometry as CIF:
```
data_NaNb6O8
_cell_length_a 6.147
_cell_length_b 6.147
_cell_length_c 6.147
_cell_angle_alpha 99.43
_cell_angle_beta 99.43
_cell_angle_gamma 99.43
_space_group_name_H-M_alt 'P 1'
_space_group_IT_number 1
loop_
_space_group_symop_operation_xyz
'x,y,z'
loop_
_atom_site_label
_atom_site_type_symbol
_atom_site_fract_x
_atom_site_fract_y
_atom_site_fract_z
Na1 Na 0.000 0.000 0.000
Nb1 Nb 0.191 0.560 0.391
Nb2 Nb 0.391 0.191 0.560
Nb3 Nb 0.440 0.609 0.809
Nb4 Nb 0.560 0.391 0.191
Nb5 Nb 0.609 0.809 0.440
Nb6 Nb 0.809 0.440 0.609
O1 O 0.118 0.340 0.650
O2 O 0.247 0.247 0.247
O3 O 0.340 0.650 0.118
O4 O 0.350 0.882 0.660
O5 O 0.650 0.118 0.340
O6 O 0.660 0.350 0.882
O7 O 0.753 0.753 0.753
O8 O 0.882 0.660 0.350
```

Output
- formation energy from raw total energies (kJ per mole of atoms) = -168.0
- M_tot (μB/atom) = 0.000
- calculated total energy (eV per atom) = -8.5009

=====

Record 2
Material: Ba3AcH8
Method: DFT, PBE
State: optimized geometry

Geometry as CIF:
```
data_Ba3AcH8
_cell_length_a 6.183
_cell_length_b 6.183
_cell_length_c 6.183
_cell_angle_alpha 90.00
_cell_angle_beta 90.00
_cell_angle_gamma 90.00
_space_group_name_H-M_alt 'P 1'
_space_group_IT_number 1
loop_
_space_group_symop_operation_xyz
'x,y,z'
loop_
_atom_site_label
_atom_site_type_symbol
_atom_site_fract_x
_atom_site_fract_y
_atom_site_fract_z
Ba1 Ba 0.000 0.000 0.500
Ba2 Ba 0.000 0.500 0.000
Ba3 Ba 0.500 0.000 0.000
Ac1 Ac 0.500 0.500 0.500
H1 H 0.262 0.262 0.262
H2 H 0.262 0.262 0.738
H3 H 0.262 0.738 0.262
H4 H 0.262 0.738 0.738
H5 H 0.738 0.262 0.262
H6 H 0.738 0.262 0.738
H7 H 0.738 0.738 0.262
H8 H 0.738 0.738 0.738
```

Output
- M_tot (μB/atom) = 0.000
- calculated total energy (eV per atom) = -3.5573

=====

Record 3
Material: K5Sm3F12
Method: DFT, PBE
State: optimized geometry

Geometry as CIF:
```
data_K5Sm3F12
_cell_length_a 13.499
_cell_length_b 13.499
_cell_length_c 13.499
_cell_angle_alpha 109.47
_cell_angle_beta 109.47
_cell_angle_gamma 109.47
_space_group_name_H-M_alt 'P 1'
_space_group_IT_number 1
loop_
_space_group_symop_operation_xyz
'x,y,z'
loop_
_atom_site_label
_atom_site_type_symbol
_atom_site_fract_x
_atom_site_fract_y
_atom_site_fract_z
K1 K 0.000 0.000 0.000
K2 K 0.000 0.000 0.500
K3 K 0.000 0.500 0.000
K4 K 0.000 0.500 0.500
K5 K 0.125 0.750 0.875
K6 K 0.125 0.875 0.250
K7 K 0.250 0.125 0.875
K8 K 0.250 0.625 0.375
K9 K 0.375 0.250 0.625
K10 K 0.375 0.625 0.750
K11 K 0.500 0.000 0.000
K12 K 0.500 0.000 0.500
K13 K 0.500 0.500 0.000
K14 K 0.500 0.500 0.500
K15 K 0.625 0.375 0.250
K16 K 0.625 0.750 0.375
K17 K 0.750 0.375 0.625
K18 K 0.750 0.875 0.125
K19 K 0.875 0.125 0.750
K20 K 0.875 0.250 0.125
Sm1 Sm 0.125 0.250 0.375
Sm2 Sm 0.125 0.375 0.750
Sm3 Sm 0.250 0.375 0.125
Sm4 Sm 0.250 0.875 0.625
Sm5 Sm 0.375 0.125 0.250
Sm6 Sm 0.375 0.750 0.125
Sm7 Sm 0.625 0.250 0.875
Sm8 Sm 0.625 0.875 0.750
Sm9 Sm 0.750 0.125 0.375
Sm10 Sm 0.750 0.625 0.875
Sm11 Sm 0.875 0.625 0.250
Sm12 Sm 0.875 0.750 0.625
F1 F 0.015 0.696 0.648
F2 F 0.015 0.819 0.367
F3 F 0.048 0.196 0.181
F4 F 0.048 0.352 0.867
F5 F 0.133 0.681 0.485
F6 F 0.133 0.952 0.648
F7 F 0.148 0.196 0.515
F8 F 0.148 0.452 0.633
F9 F 0.181 0.048 0.196
F10 F 0.181 0.633 0.985
F11 F 0.196 0.181 0.048
F12 F 0.196 0.515 0.148
F13 F 0.304 0.352 0.985
F14 F 0.304 0.452 0.319
F15 F 0.319 0.304 0.452
F16 F 0.319 0.515 0.867
F17 F 0.352 0.867 0.048
F18 F 0.352 0.985 0.304
F19 F 0.367 0.015 0.819
F20 F 0.367 0.852 0.548
F21 F 0.452 0.319 0.304
F22 F 0.452 0.633 0.148
F23 F 0.485 0.133 0.681
F24 F 0.485 0.852 0.804
F25 F 0.515 0.148 0.196
F26 F 0.515 0.867 0.319
F27 F 0.548 0.367 0.852
F28 F 0.548 0.681 0.696
F29 F 0.633 0.148 0.452
F30 F 0.633 0.985 0.181
F31 F 0.648 0.015 0.696
F32 F 0.648 0.133 0.952
F33 F 0.681 0.485 0.133
F34 F 0.681 0.696 0.548
F35 F 0.696 0.548 0.681
F36 F 0.696 0.648 0.015
F37 F 0.804 0.485 0.852
F38 F 0.804 0.819 0.952
F39 F 0.819 0.367 0.015
F40 F 0.819 0.952 0.804
F41 F 0.852 0.548 0.367
F42 F 0.852 0.804 0.485
F43 F 0.867 0.048 0.352
F44 F 0.867 0.319 0.515
F45 F 0.952 0.648 0.133
F46 F 0.952 0.804 0.819
F47 F 0.985 0.181 0.633
F48 F 0.985 0.304 0.352
```

Output
- formation energy from raw total energies (kJ per mole of atoms) = -297.4
- M_tot (μB/atom) = 0.046
- calculated total energy (eV per atom) = -5.1870

=====

Record 4
Material: CsRb6Cd
Method: DFT, PBE
State: optimized geometry

Geometry as CIF:
```
data_CsRb6Cd
_cell_length_a 5.118
_cell_length_b 11.265
_cell_length_c 11.265
_cell_angle_alpha 90.46
_cell_angle_beta 90.00
_cell_angle_gamma 90.00
_space_group_name_H-M_alt 'P 1'
_space_group_IT_number 1
loop_
_space_group_symop_operation_xyz
'x,y,z'
loop_
_atom_site_label
_atom_site_type_symbol
_atom_site_fract_x
_atom_site_fract_y
_atom_site_fract_z
Cs1 Cs 0.000 0.000 0.000
Rb1 Rb 0.000 0.584 0.997
Rb2 Rb 0.000 0.593 0.593
Rb3 Rb 0.000 0.997 0.584
Rb4 Rb 0.500 0.299 0.780
Rb5 Rb 0.500 0.301 0.301
Rb6 Rb 0.500 0.780 0.299
Cd1 Cd 0.500 0.790 0.790
```

Output
- M_tot (μB/atom) = 0.000
- E_form (eV per formula unit) = 0.2
- calculated total energy (eV per atom) = -0.9280

=====

Record 5
Material: Sr6HgRh2
Method: DFT, PBE
State: optimized geometry

Geometry as CIF:
```
data_Sr6HgRh2
_cell_length_a 7.553
_cell_length_b 7.553
_cell_length_c 7.342
_cell_angle_alpha 90.00
_cell_angle_beta 90.00
_cell_angle_gamma 120.00
_space_group_name_H-M_alt 'P 1'
_space_group_IT_number 1
loop_
_space_group_symop_operation_xyz
'x,y,z'
loop_
_atom_site_label
_atom_site_type_symbol
_atom_site_fract_x
_atom_site_fract_y
_atom_site_fract_z
Sr1 Sr 0.000 0.354 0.227
Sr2 Sr 0.000 0.646 0.773
Sr3 Sr 0.354 0.000 0.227
Sr4 Sr 0.354 0.354 0.773
Sr5 Sr 0.646 0.000 0.773
Sr6 Sr 0.646 0.646 0.227
Hg1 Hg 0.000 0.000 0.500
Rh1 Rh 0.333 0.667 0.000
Rh2 Rh 0.667 0.333 0.000
```

Output
- M_tot (μB/atom) = 0.000
- E_form (eV per formula unit) = -2.2
- calculated total energy (eV per atom) = -3.0306

=====

Record 6
Material: Y7Co6Sn23
Method: DFT, PBE
State: optimized geometry

Geometry as CIF:
```
data_Y7Co6Sn23
_cell_length_a 9.721
_cell_length_b 9.721
_cell_length_c 9.929
_cell_angle_alpha 90.00
_cell_angle_beta 90.00
_cell_angle_gamma 120.00
_space_group_name_H-M_alt 'P 1'
_space_group_IT_number 1
loop_
_space_group_symop_operation_xyz
'x,y,z'
loop_
_atom_site_label
_atom_site_type_symbol
_atom_site_fract_x
_atom_site_fract_y
_atom_site_fract_z
Y1 Y 0.000 0.000 0.000
Y2 Y 0.044 0.522 0.307
Y3 Y 0.478 0.522 0.307
Y4 Y 0.478 0.956 0.307
Y5 Y 0.522 0.044 0.693
Y6 Y 0.522 0.478 0.693
Y7 Y 0.956 0.478 0.693
Co1 Co 0.168 0.336 0.802
Co2 Co 0.168 0.832 0.802
Co3 Co 0.336 0.168 0.198
Co4 Co 0.664 0.832 0.802
Co5 Co 0.832 0.168 0.198
Co6 Co 0.832 0.664 0.198
Sn1 Sn 0.000 0.000 0.500
Sn2 Sn 0.000 0.346 0.000
Sn3 Sn 0.000 0.654 0.000
Sn4 Sn 0.117 0.234 0.274
Sn5 Sn 0.117 0.883 0.274
Sn6 Sn 0.218 0.436 0.548
Sn7 Sn 0.218 0.782 0.548
Sn8 Sn 0.234 0.117 0.726
Sn9 Sn 0.333 0.667 0.114
Sn10 Sn 0.333 0.667 0.820
Sn11 Sn 0.346 0.000 0.000
Sn12 Sn 0.346 0.346 0.000
Sn13 Sn 0.436 0.218 0.452
Sn14 Sn 0.564 0.782 0.548
Sn15 Sn 0.654 0.000 0.000
Sn16 Sn 0.654 0.654 0.000
Sn17 Sn 0.667 0.333 0.180
Sn18 Sn 0.667 0.333 0.886
Sn19 Sn 0.766 0.883 0.274
Sn20 Sn 0.782 0.218 0.452
Sn21 Sn 0.782 0.564 0.452
Sn22 Sn 0.883 0.117 0.726
Sn23 Sn 0.883 0.766 0.726
```

Output
- M_tot (μB/atom) = 0.000
- E_form (eV per formula unit) = -15.2
- calculated total energy (eV per atom) = -5.4213

=====

Question: Among the records above, which one has the lowest calculated total energy?
Answer: NaNb6O8

=====

Please write out number 4 again, unchanged.
Material: CsRb6Cd
Method: DFT, PBE
State: optimized geometry

Geometry as CIF:
```
data_CsRb6Cd
_cell_length_a 5.118
_cell_length_b 11.265
_cell_length_c 11.265
_cell_angle_alpha 90.46
_cell_angle_beta 90.00
_cell_angle_gamma 90.00
_space_group_name_H-M_alt 'P 1'
_space_group_IT_number 1
loop_
_space_group_symop_operation_xyz
'x,y,z'
loop_
_atom_site_label
_atom_site_type_symbol
_atom_site_fract_x
_atom_site_fract_y
_atom_site_fract_z
Cs1 Cs 0.000 0.000 0.000
Rb1 Rb 0.000 0.584 0.997
Rb2 Rb 0.000 0.593 0.593
Rb3 Rb 0.000 0.997 0.584
Rb4 Rb 0.500 0.299 0.780
Rb5 Rb 0.500 0.301 0.301
Rb6 Rb 0.500 0.780 0.299
Cd1 Cd 0.500 0.790 0.790
```

Output
- M_tot (μB/atom) = 0.000
- E_form (eV per formula unit) = 0.2
- calculated total energy (eV per atom) = -0.9280

=====

Question: Which value of M_tot does entry 5 give?
Answer: 0.000 μB/atom

=====

Please write out number 2 again, unchanged.
Material: Ba3AcH8
Method: DFT, PBE
State: optimized geometry

Geometry as CIF:
```
data_Ba3AcH8
_cell_length_a 6.183
_cell_length_b 6.183
_cell_length_c 6.183
_cell_angle_alpha 90.00
_cell_angle_beta 90.00
_cell_angle_gamma 90.00
_space_group_name_H-M_alt 'P 1'
_space_group_IT_number 1
loop_
_space_group_symop_operation_xyz
'x,y,z'
loop_
_atom_site_label
_atom_site_type_symbol
_atom_site_fract_x
_atom_site_fract_y
_atom_site_fract_z
Ba1 Ba 0.000 0.000 0.500
Ba2 Ba 0.000 0.500 0.000
Ba3 Ba 0.500 0.000 0.000
Ac1 Ac 0.500 0.500 0.500
H1 H 0.262 0.262 0.262
H2 H 0.262 0.262 0.738
H3 H 0.262 0.738 0.262
H4 H 0.262 0.738 0.738
H5 H 0.738 0.262 0.262
H6 H 0.738 0.262 0.738
H7 H 0.738 0.738 0.262
H8 H 0.738 0.738 0.738
```

Output
- M_tot (μB/atom) = 0.000
- calculated total energy (eV per atom) = -3.5573